First-principles (PBE) data for an optimized crystal structure of NiP2, as listed in Alexandria.

abc: 2.6961 2.6961 7.6200
angles: 90.00 90.00 120.00
With the nearest neighbours (Å) after each atom.
Fractional positions:
Ni (0.0000, 0.0000, 0.0000)  6 P 2.37
P (0.3333, 0.6667, 0.2341)  3 Ni 2.37
P (0.6667, 0.3333, 0.7659)  3 Ni 2.37

## Properties
Space group: No. 164

First-principles (PBE) data for an optimized crystal structure of LaVSb3, as listed in Alexandria.

abc: 13.4842 6.3546 6.0408
angles: 90.00 90.00 90.00
With the nearest neighbours (Å) after each atom.
Fractional positions:
La (0.1914, 0.0013, 0.2500)  9 Sb 3.28-3.43, 2 V 3.66
La (0.1914, 0.4987, 0.7500)  9 Sb 3.28-3.43, 2 V 3.66
La (0.8086, 0.5013, 0.2500)  9 Sb 3.28-3.43, 2 V 3.66
La (0.8086, 0.9987, 0.7500)  9 Sb 3.28-3.43, 2 V 3.66
V (0.4084, 0.7500, 0.0000)  6 Sb 2.73-2.75, 2 V 3.02
V (0.4084, 0.7500, 0.5000)  6 Sb 2.73-2.75, 2 V 3.02
V (0.5916, 0.2500, 0.0000)  6 Sb 2.73-2.75, 2 V 3.02
V (0.5916, 0.2500, 0.5000)  6 Sb 2.73-2.75, 2 V 3.02
Sb (0.0009, 0.7500, 0.0000)  4 Sb 3.02-3.18, 2 La 3.38
Sb (0.0009, 0.7500, 0.5000)  4 Sb 3.02-3.18, 2 La 3.38
Sb (0.2864, 0.0003, 0.7500)  2 V 2.74
Sb (0.2864, 0.4997, 0.2500)  2 V 2.74
Sb (0.4357, 0.1031, 0.2500)  4 V 2.73-2.75
Sb (0.4357, 0.3969, 0.7500)  4 V 2.73-2.75
Sb (0.5643, 0.6031, 0.2500)  4 V 2.73-2.75
Sb (0.5643, 0.8969, 0.7500)  4 V 2.73-2.75
Sb (0.7136, 0.9997, 0.2500)  2 V 2.74
Sb (0.7136, 0.5003, 0.7500)  2 V 2.74
Sb (0.9991, 0.2500, 0.0000)  4 Sb 3.02-3.18, 2 La 3.38
Sb (0.9991, 0.2500, 0.5000)  4 Sb 3.02-3.18, 2 La 3.38

## Properties
Space group: No. 57

First-principles (PBE) data for an optimized crystal structure of Ca2HfSbN4, as listed in Alexandria.

abc: 5.8671 3.3345 5.9207
angles: 90.00 109.03 90.00
With the nearest neighbours (Å) after each atom.
Fractional positions:
Ca (0.0000, 0.0000, 0.0000)  6 N 2.46-2.47
Ca (0.5000, 0.5000, 0.0000)  6 N 2.52-2.57
Hf (0.0000, 0.5000, 0.5000)  6 N 2.24-2.26
Sb (0.5000, 0.0000, 0.5000)  6 N 2.33-2.34
N (0.2301, 0.0000, 0.7167)  2 Hf 2.26, 1 Sb 2.34, 3 Ca 2.47-2.52
N (0.2468, 0.5000, 0.2809)  1 Hf 2.24, 2 Sb 2.33, 2 Ca 2.46
N (0.7532, 0.5000, 0.7191)  1 Hf 2.24, 2 Sb 2.33, 2 Ca 2.46
N (0.7699, 0.0000, 0.2833)  2 Hf 2.26, 1 Sb 2.34, 3 Ca 2.47-2.52

## Properties
Space group: No. 10

Number 1: raw total energy -5.461 eV per atom. Number 2: raw total energy -5.855 eV per atom. Number 3: raw total energy -7.263 eV per atom.